First-principles (PBE+U) data for a relaxed Al2TlVO crystal, as listed in Alexandria via LeMat-Bulk.

Cell: 5.3580 3.6405 5.3580 Å, 90.00 90.00 90.00°
Closest atoms and distances in Å follow each position.
Fractional coordinates of all 5 atoms:
O1 0.0000 0.5000 0.0000  2 V 1.82
Al1 0.5000 0.0000 0.0000  2 V 2.68
Tl1 0.5000 0.5000 0.5000  8 Al 3.24
V1 0.0000 0.0000 0.0000  2 O 1.82
Al2 0.0000 0.0000 0.5000  2 V 2.68

uncorrected energy = -4.398 eV per atom
SG = P4/mmm
magnetization = 0.1955 μB per atom

First-principles (PBE+U) data for a relaxed Al2TlWO crystal, as listed in Alexandria via LeMat-Bulk.

Cell: 5.1065 5.5737 5.1065 Å, 90.00 90.00 90.00°
Closest atoms and distances in Å follow each position.
Fractional coordinates of all 5 atoms:
O1 0.5000 0.5000 0.5000  4 Tl 3.61, 8 Al 3.78
Tl1 0.0000 0.5000 0.0000  2 W 2.79
Al1 0.5000 0.0000 0.0000  2 W 2.55
Al2 0.0000 0.0000 0.5000  2 W 2.55
W1 0.0000 0.0000 0.0000  4 Al 2.55, 2 Tl 2.79

uncorrected energy = -3.222 eV per atom
SG = P4/mmm
offset from the most stable computed form = 0.0 meV per atom
magnetization = 0.9422 μB per atom

First-principles (PBE+U) data for a relaxed AlTlWO2 crystal, as listed in Alexandria via LeMat-Bulk.

Cell: 3.8197 6.2408 3.8197 Å, 90.00 90.00 90.00°
Closest atoms and distances in Å follow each position.
Fractional coordinates of all 5 atoms:
O1 0.0000 0.0000 0.5000  2 Al 1.91
Tl1 0.0000 0.5000 0.0000  4 W 2.70
W1 0.5000 0.5000 0.5000  4 Tl 2.70
Al1 0.0000 0.0000 0.0000  4 O 1.91
O2 0.5000 0.0000 0.0000  2 Al 1.91

uncorrected energy = -4.712 eV per atom
SG = P4/mmm
magnetization = 0.7992 μB per atom

First-principles (PBE+U) data for a relaxed Al2TlWO crystal, as listed in Alexandria via LeMat-Bulk.

Cell: 5.0797 5.6136 5.0797 Å, 90.00 90.00 90.00°
Closest atoms and distances in Å follow each position.
Fractional coordinates of all 5 atoms:
Al1 0.5000 0.0000 0.0000  2 Tl 2.54
O1 0.5000 0.5000 0.5000  4 W 3.59, 8 Al 3.79
Tl1 0.0000 0.0000 0.0000  4 Al 2.54, 2 W 2.81
Al2 0.0000 0.0000 0.5000  2 Tl 2.54
W1 0.0000 0.5000 0.0000  2 Tl 2.81

uncorrected energy = -2.720 eV per atom
SG = P4/mmm
offset from the most stable computed form = 501.4 meV per atom
magnetization = 0.7718 μB per atom